No. 1
{"formula": "Cu7Pt", "functional": "SCAN", "state": "single point on PBEsol structure", "lattice_angstrom": [[-1.768, -4.273, -2.190], [2.847, -4.252, 0.019], [-1.371, -3.984, 2.903]], "species": ["Cu", "Cu", "Cu", "Cu", "Cu", "Cu", "Cu", "Pt"], "fractional_positions": [[0.500, 0.000, 0.000], [0.500, 0.500, 0.000], [0.000, 0.500, 0.000], [0.500, 0.000, 0.500], [0.000, 0.000, 0.500], [0.000, 0.500, 0.500], [0.500, 0.500, 0.500], [0.000, 0.000, 0.000]], "mass_density_kg_m3": 11216, "magmom_total_mub_per_cell": 0.00, "sg": "Fm-3m", "ef_kj_per_mol_fu": -75.2, "crystal_system": "cubic"}

=====

No. 2
{"formula": "Cu5Pt7", "functional": "SCAN", "state": "single point on PBEsol structure", "lattice_angstrom": [[2.708, 0.000, 0.000], [0.000, 7.922, -0.013], [0.000, -2.763, 7.609]], "species": ["Cu", "Cu", "Cu", "Cu", "Cu", "Pt", "Pt", "Pt", "Pt", "Pt", "Pt", "Pt"], "fractional_positions": [[0.000, 0.990, 0.998], [0.500, 0.763, 0.088], [0.000, 0.501, 0.165], [0.000, 0.994, 0.326], [0.500, 0.754, 0.758], [0.500, 0.234, 0.242], [0.500, 0.749, 0.402], [0.000, 0.504, 0.500], [0.500, 0.248, 0.582], [0.000, 0.990, 0.669], [0.000, 0.522, 0.850], [0.500, 0.251, 0.922]], "mass_density_kg_m3": 17130, "magmom_total_mub_per_cell": 0.00, "sg": "Pm", "ef_kj_per_mol_fu": -116.8, "crystal_system": "monoclinic"}

=====

No. 3
{"formula": "CuPt2", "functional": "SCAN", "state": "single point on PBEsol structure", "lattice_angstrom": [[5.387, 0.007, 0.001], [2.659, 4.685, 0.001], [-0.023, -0.014, 6.637]], "species": ["Cu", "Cu", "Cu", "Cu", "Pt", "Pt", "Pt", "Pt", "Pt", "Pt", "Pt", "Pt"], "fractional_positions": [[0.334, 0.334, 0.168], [0.500, 0.000, 0.500], [0.666, 0.666, 0.832], [0.000, 0.500, 0.500], [0.835, 0.338, 0.170], [0.000, 0.000, 0.500], [0.165, 0.662, 0.830], [0.834, 0.834, 0.170], [0.166, 0.166, 0.830], [0.338, 0.835, 0.170], [0.500, 0.500, 0.500], [0.662, 0.165, 0.830]], "mass_density_kg_m3": 18003, "magmom_total_mub_per_cell": 0.00, "sg": "C2/m", "ef_kj_per_mol_fu": -36.2, "crystal_system": "monoclinic"}

=====

No. 4
{"formula": "Cu7Pt5", "functional": "SCAN", "state": "single point on PBEsol structure", "lattice_angstrom": [[-0.140, -1.023, 4.445], [3.281, -2.614, 1.844], [4.581, 6.709, 3.289]], "species": ["Cu", "Cu", "Cu", "Cu", "Cu", "Cu", "Cu", "Pt", "Pt", "Pt", "Pt", "Pt"], "fractional_positions": [[0.999, 0.002, 0.000], [0.083, 0.334, 0.746], [0.169, 0.663, 0.500], [0.253, 0.001, 0.253], [0.500, 0.999, 0.500], [0.584, 0.334, 0.254], [0.746, 0.001, 0.747], [0.336, 0.328, 0.000], [0.405, 0.678, 0.745], [0.667, 0.666, 0.000], [0.841, 0.318, 0.500], [0.917, 0.678, 0.255]], "mass_density_kg_m3": 15078, "magmom_total_mub_per_cell": 0.00, "sg": "C2", "ef_kj_per_mol_fu": -150.8, "crystal_system": "monoclinic"}

=====

No. 5
{"formula": "Cu5Pt7", "functional": "SCAN", "state": "single point on PBEsol structure", "lattice_angstrom": [[-1.386, -4.422, -0.122], [0.893, -1.250, 5.798], [-5.690, 0.926, 1.655]], "species": ["Cu", "Cu", "Cu", "Cu", "Cu", "Pt", "Pt", "Pt", "Pt", "Pt", "Pt", "Pt"], "fractional_positions": [[0.000, 0.998, 0.002], [0.751, 0.419, 0.086], [0.500, 0.832, 0.168], [0.000, 0.671, 0.329], [0.249, 0.914, 0.581], [0.247, 0.246, 0.247], [0.751, 0.073, 0.409], [0.500, 0.511, 0.489], [0.000, 0.332, 0.668], [0.753, 0.753, 0.754], [0.500, 0.161, 0.839], [0.249, 0.591, 0.927]], "mass_density_kg_m3": 17095, "magmom_total_mub_per_cell": 0.00, "sg": "C2", "ef_kj_per_mol_fu": -124.3, "crystal_system": "monoclinic"}

=====

No. 6
{"formula": "CuPt2", "functional": "SCAN", "state": "single point on PBEsol structure", "lattice_angstrom": [[-3.083, -0.848, -3.381], [-0.162, -6.028, 0.562], [-4.969, -0.113, 3.461]], "species": ["Cu", "Cu", "Cu", "Cu", "Pt", "Pt", "Pt", "Pt", "Pt", "Pt", "Pt", "Pt"], "fractional_positions": [[0.000, 0.000, 0.000], [0.751, 0.417, 0.085], [0.000, 0.668, 0.332], [0.249, 0.915, 0.583], [0.500, 0.831, 0.169], [0.248, 0.252, 0.247], [0.756, 0.077, 0.412], [0.500, 0.504, 0.496], [0.000, 0.331, 0.669], [0.752, 0.753, 0.748], [0.500, 0.164, 0.836], [0.244, 0.588, 0.923]], "mass_density_kg_m3": 18019, "magmom_total_mub_per_cell": 0.00, "sg": "C2", "ef_kj_per_mol_fu": -25.1, "crystal_system": "monoclinic"}

=====

No. 7
{"formula": "CuPt2", "functional": "SCAN", "state": "single point on PBEsol structure", "lattice_angstrom": [[-0.198, 2.648, -0.527], [-2.022, -1.284, 1.260], [2.762, 1.365, 5.822]], "species": ["Pt", "Pt", "Cu"], "fractional_positions": [[0.667, 0.333, 0.319], [0.333, 0.667, 0.681], [0.000, 0.000, 0.000]], "mass_density_kg_m3": 18026, "magmom_total_mub_per_cell": 0.00, "sg": "P-3m1", "ef_kj_per_mol_fu": -34.3, "crystal_system": "trigonal"}

=====

No. 8
{"formula": "Cu5Pt7", "functional": "SCAN", "state": "single point on PBEsol structure", "lattice_angstrom": [[-0.949, 0.490, -4.528], [0.154, -4.518, 1.097], [-7.864, 0.136, 1.664]], "species": ["Cu", "Cu", "Cu", "Cu", "Cu", "Pt", "Pt", "Pt", "Pt", "Pt", "Pt", "Pt"], "fractional_positions": [[0.000, 0.500, 0.666], [0.000, 0.000, 0.830], [0.000, 0.000, 0.170], [0.500, 0.000, 0.334], [0.500, 0.500, 0.500], [0.000, 0.500, 0.999], [0.000, 0.500, 0.339], [0.000, 0.000, 0.500], [0.500, 0.000, 0.661], [0.500, 0.500, 0.827], [0.500, 0.000, 0.001], [0.500, 0.500, 0.173]], "mass_density_kg_m3": 17073, "magmom_total_mub_per_cell": 0.00, "sg": "C222", "ef_kj_per_mol_fu": -140.1, "crystal_system": "orthorhombic"}

=====

No. 9
{"formula": "Cu4Pt3", "functional": "SCAN", "state": "single point on PBEsol structure", "lattice_angstrom": [[2.742, 0.000, 0.000], [0.000, 2.742, 0.000], [-1.371, -1.371, 12.023]], "species": ["Cu", "Cu", "Cu", "Cu", "Pt", "Pt", "Pt"], "fractional_positions": [[0.136, 0.136, 0.272], [0.428, 0.428, 0.855], [0.572, 0.572, 0.145], [0.864, 0.864, 0.728], [0.000, 0.000, 0.000], [0.292, 0.292, 0.584], [0.708, 0.708, 0.416]], "mass_density_kg_m3": 15415, "magmom_total_mub_per_cell": 0.00, "sg": "I4/mmm", "ef_kj_per_mol_fu": -74.6, "crystal_system": "tetragonal"}

=====

No. 10
{"formula": "Cu5Pt7", "functional": "SCAN", "state": "single point on PBEsol structure", "lattice_angstrom": [[4.633, 0.000, -0.003], [2.317, 4.037, -0.002], [1.592, 0.000, 8.762]], "species": ["Cu", "Cu", "Cu", "Cu", "Cu", "Pt", "Pt", "Pt", "Pt", "Pt", "Pt", "Pt"], "fractional_positions": [[0.747, 0.000, 0.254], [0.335, 0.329, 0.500], [0.500, 0.000, 0.000], [0.665, 0.671, 0.500], [0.253, 0.000, 0.746], [0.913, 0.667, 0.746], [0.087, 0.333, 0.254], [0.836, 0.329, 0.000], [0.420, 0.667, 0.254], [0.000, 0.000, 0.500], [0.580, 0.333, 0.746], [0.164, 0.671, 0.000]], "mass_density_kg_m3": 17054, "magmom_total_mub_per_cell": 0.00, "sg": "C2/m", "ef_kj_per_mol_fu": -128.4, "crystal_system": "monoclinic"}

=====

No. 11
{"formula": "Cu7Pt5", "functional": "SCAN", "state": "single point on PBEsol structure", "lattice_angstrom": [[3.765, 0.000, 0.000], [0.000, 5.245, -0.018], [0.000, -0.163, 7.886]], "species": ["Cu", "Cu", "Cu", "Cu", "Cu", "Cu", "Cu", "Pt", "Pt", "Pt", "Pt", "Pt"], "fractional_positions": [[0.000, 0.000, 0.002], [0.500, 0.754, 0.168], [0.000, 0.502, 0.333], [0.500, 0.248, 0.498], [0.000, 0.996, 0.664], [0.500, 0.750, 0.834], [0.000, 0.001, 0.333], [0.000, 0.513, 0.005], [0.500, 0.244, 0.176], [0.500, 0.758, 0.493], [0.000, 0.497, 0.662], [0.500, 0.236, 0.831]], "mass_density_kg_m3": 15145, "magmom_total_mub_per_cell": 0.00, "sg": "Pm", "ef_kj_per_mol_fu": -168.7, "crystal_system": "monoclinic"}

=====

No. 12
{"formula": "Cu7Pt5", "functional": "SCAN", "state": "single point on PBEsol structure", "lattice_angstrom": [[4.541, 0.005, 0.000], [-1.571, 4.325, 0.000], [0.000, 0.000, 7.963]], "species": ["Cu", "Cu", "Cu", "Cu", "Cu", "Cu", "Cu", "Pt", "Pt", "Pt", "Pt", "Pt"], "fractional_positions": [[0.000, 0.000, 0.998], [0.000, 0.500, 0.166], [0.000, 0.000, 0.329], [0.000, 0.500, 0.502], [0.000, 0.000, 0.670], [0.500, 0.500, 0.001], [0.500, 0.000, 0.834], [0.000, 0.500, 0.843], [0.500, 0.000, 0.155], [0.500, 0.500, 0.329], [0.500, 0.000, 0.500], [0.500, 0.500, 0.671]], "mass_density_kg_m3": 15074, "magmom_total_mub_per_cell": 0.00, "sg": "P2", "ef_kj_per_mol_fu": -179.6, "crystal_system": "monoclinic"}

=====

No. 13
{"formula": "Cu7Pt5", "functional": "SCAN", "state": "single point on PBEsol structure", "lattice_angstrom": [[2.675, 0.000, 0.000], [-1.337, 2.316, 0.000], [0.000, 0.000, 25.295]], "species": ["Cu", "Cu", "Cu", "Cu", "Cu", "Cu", "Cu", "Pt", "Pt", "Pt", "Pt", "Pt"], "fractional_positions": [[0.000, 0.000, 0.009], [0.333, 0.667, 0.086], [0.667, 0.333, 0.163], [0.333, 0.667, 0.332], [0.667, 0.333, 0.409], [0.333, 0.667, 0.578], [0.333, 0.667, 0.840], [0.000, 0.000, 0.248], [0.000, 0.000, 0.493], [0.667, 0.333, 0.661], [0.000, 0.000, 0.756], [0.667, 0.333, 0.924]], "mass_density_kg_m3": 15050, "magmom_total_mub_per_cell": 0.00, "sg": "P3m1", "ef_kj_per_mol_fu": -131.8, "crystal_system": "trigonal"}

=====

No. 14
{"formula": "Cu5Pt3", "functional": "SCAN", "state": "single point on PBEsol structure", "lattice_angstrom": [[3.768, 0.000, 0.000], [0.000, 5.217, 0.020], [0.000, -0.258, 5.211]], "species": ["Cu", "Cu", "Cu", "Cu", "Cu", "Pt", "Pt", "Pt"], "fractional_positions": [[0.000, 0.000, 0.000], [0.000, 0.500, 0.000], [0.000, 0.000, 0.500], [0.500, 0.750, 0.750], [0.500, 0.250, 0.250], [0.000, 0.500, 0.500], [0.500, 0.759, 0.241], [0.500, 0.241, 0.759]], "mass_density_kg_m3": 14636, "magmom_total_mub_per_cell": 0.00, "sg": "Cmmm", "ef_kj_per_mol_fu": -121.0, "crystal_system": "orthorhombic"}

=====

No. 15
{"formula": "CuPt2", "functional": "SCAN", "state": "single point on PBEsol structure", "lattice_angstrom": [[4.680, 0.000, -0.004], [2.340, 4.053, -0.002], [1.613, 0.000, 8.822]], "species": ["Cu", "Cu", "Cu", "Cu", "Pt", "Pt", "Pt", "Pt", "Pt", "Pt", "Pt", "Pt"], "fractional_positions": [[0.707, 0.832, 0.375], [0.293, 0.168, 0.625], [0.460, 0.832, 0.125], [0.540, 0.168, 0.875], [0.874, 0.504, 0.875], [0.050, 0.161, 0.375], [0.622, 0.504, 0.625], [0.210, 0.839, 0.875], [0.790, 0.161, 0.125], [0.378, 0.496, 0.375], [0.950, 0.839, 0.625], [0.126, 0.496, 0.125]], "mass_density_kg_m3": 18007, "magmom_total_mub_per_cell": 0.00, "sg": "C2/c", "ef_kj_per_mol_fu": -23.9, "crystal_system": "monoclinic"}

=====

No. 16
{"formula": "CuPt2", "functional": "SCAN", "state": "single point on PBEsol structure", "lattice_angstrom": [[-2.066, 1.985, -3.692], [-2.892, -3.168, 1.854], [-0.681, 6.309, 5.761]], "species": ["Cu", "Cu", "Cu", "Cu", "Pt", "Pt", "Pt", "Pt", "Pt", "Pt", "Pt", "Pt"], "fractional_positions": [[0.579, 0.579, 0.158], [0.000, 0.500, 0.000], [0.421, 0.421, 0.842], [0.500, 0.000, 0.000], [0.839, 0.339, 0.679], [0.249, 0.249, 0.497], [0.661, 0.161, 0.321], [0.079, 0.079, 0.158], [0.921, 0.921, 0.842], [0.339, 0.839, 0.679], [0.751, 0.751, 0.503], [0.161, 0.661, 0.321]], "mass_density_kg_m3": 17963, "magmom_total_mub_per_cell": 0.00, "sg": "Fmmm", "ef_kj_per_mol_fu": -22.9, "crystal_system": "orthorhombic"}

=====

No. 17
{"formula": "Cu5Pt2", "functional": "SCAN", "state": "single point on PBEsol structure", "lattice_angstrom": [[3.766, 0.000, 0.000], [-1.883, 4.063, -0.001], [0.000, -0.828, 5.699]], "species": ["Cu", "Cu", "Cu", "Cu", "Cu", "Pt", "Pt"], "fractional_positions": [[0.575, 0.151, 0.704], [0.863, 0.725, 0.571], [0.137, 0.275, 0.429], [0.425, 0.849, 0.296], [0.000, 0.000, 0.000], [0.709, 0.418, 0.152], [0.291, 0.582, 0.848]], "mass_density_kg_m3": 13480, "magmom_total_mub_per_cell": 0.00, "sg": "C2/m", "ef_kj_per_mol_fu": -86.8, "crystal_system": "monoclinic"}

=====

No. 18
{"formula": "Cu7Pt5", "functional": "SCAN", "state": "single point on PBEsol structure", "lattice_angstrom": [[-3.354, -1.172, 2.855], [2.490, -3.675, -1.033], [4.801, 1.495, 6.254]], "species": ["Cu", "Cu", "Cu", "Cu", "Cu", "Cu", "Cu", "Pt", "Pt", "Pt", "Pt", "Pt"], "fractional_positions": [[0.000, 0.000, 0.838], [0.000, 0.500, 0.002], [0.000, 0.000, 0.162], [0.000, 0.500, 0.332], [0.000, 0.000, 0.500], [0.500, 0.000, 0.998], [0.500, 0.000, 0.668], [0.000, 0.500, 0.670], [0.500, 0.500, 0.836], [0.500, 0.500, 0.164], [0.500, 0.000, 0.330], [0.500, 0.500, 0.500]], "mass_density_kg_m3": 15022, "magmom_total_mub_per_cell": 0.00, "sg": "C222", "ef_kj_per_mol_fu": -185.2, "crystal_system": "orthorhombic"}

=====

No. 19
{"formula": "Cu5Pt7", "functional": "SCAN", "state": "single point on PBEsol structure", "lattice_angstrom": [[2.733, 0.000, 0.000], [0.000, 2.733, 0.000], [0.000, 0.000, 21.675]], "species": ["Cu", "Cu", "Cu", "Cu", "Cu", "Pt", "Pt", "Pt", "Pt", "Pt", "Pt", "Pt"], "fractional_positions": [[0.000, 0.000, 0.014], [0.500, 0.500, 0.085], [0.500, 0.500, 0.248], [0.500, 0.500, 0.411], [0.500, 0.500, 0.575], [0.000, 0.000, 0.166], [0.000, 0.000, 0.329], [0.000, 0.000, 0.493], [0.000, 0.000, 0.657], [0.500, 0.500, 0.749], [0.000, 0.000, 0.840], [0.500, 0.500, 0.933]], "mass_density_kg_m3": 17269, "magmom_total_mub_per_cell": 0.00, "sg": "P4mm", "ef_kj_per_mol_fu": -117.3, "crystal_system": "tetragonal"}

=====

No. 20
{"formula": "Cu3Pt5", "functional": "SCAN", "state": "single point on PBEsol structure", "lattice_angstrom": [[-1.226, -2.608, 2.533], [4.918, -0.274, 2.100], [-1.466, 3.926, 3.333]], "species": ["Cu", "Cu", "Cu", "Pt", "Pt", "Pt", "Pt", "Pt"], "fractional_positions": [[0.000, 0.500, 0.500], [0.500, 0.751, 0.249], [0.500, 0.249, 0.751], [0.000, 0.000, 0.000], [0.000, 0.500, 0.000], [0.000, 0.000, 0.500], [0.500, 0.741, 0.741], [0.500, 0.259, 0.259]], "mass_density_kg_m3": 17620, "magmom_total_mub_per_cell": 0.00, "sg": "Cmmm", "ef_kj_per_mol_fu": -104.5, "crystal_system": "orthorhombic"}